# DyEr4, relaxed, DFT PBE-GGA
data_DyEr4
_chemical_formula_sum 'Dy2 Er8'
_cell_length_a 6.0706
_cell_length_b 3.5089
_cell_length_c 14.4021
_cell_angle_alpha 90.00
_cell_angle_beta 97.94
_cell_angle_gamma 90.00
_symmetry_space_group_name_H-M 'C 1 2/m 1'
_symmetry_Int_Tables_number 12
loop_
_symmetry_equiv_pos_as_xyz
'x,y,z'
'-x,-y,-z'
'-x,y,-z'
'x,-y,z'
'x+1/2,y+1/2,z'
'-x+1/2,-y+1/2,-z'
'-x+1/2,y+1/2,-z'
'x+1/2,-y+1/2,z'
loop_
_atom_site_label
_atom_site_type_symbol
_atom_site_fract_x
_atom_site_fract_y
_atom_site_fract_z
Dy1 Dy 0.0000 0.0000 0.0000
Er1 Er 0.1003 0.5000 0.7992
Er2 Er 0.2000 0.0000 0.5998
# ρ, kg/m3: 9089
# Energy relative to the lowest polymorph listed for this composition, meV per atom: 0
# Energy of formation, kJ/mol of atoms: 2.3